No. 1
Here is an optimized crystal structure of K2Pr2SbO6 from the Alexandria database. Energies are from GGA-PBE.

## Properties
Calculated volume, Å³/f.u.: 212.8
Size of the total moment, μB/f.u.: 0.0
Formation energy without anion corrections, eV/atom: -2.19

```
data_K2Pr2SbO6
_space_group_name_H-M_alt 'C 1 2/m 1'
_space_group_IT_number 12
_cell_length_a 6.1980
_cell_length_b 10.6486
_cell_length_c 6.6876
_cell_angle_alpha 90.00
_cell_angle_beta 105.40
_cell_angle_gamma 90.00
loop_
_space_group_symop_operation_xyz
'x,y,z'
'-x,-y,-z'
'-x,y,-z'
'x,-y,z'
'x+1/2,y+1/2,z'
'-x+1/2,-y+1/2,-z'
'-x+1/2,y+1/2,-z'
'x+1/2,-y+1/2,z'
loop_
_atom_site_label
_atom_site_fract_x
_atom_site_fract_y
_atom_site_fract_z
K1 0.0000 0.1573 0.0000
Pr1 0.0000 0.3352 0.5000
Sb1 0.0000 0.0000 0.5000
O1 0.2006 0.1566 0.6749
O2 0.2432 0.0000 0.3213
```

***

No. 2
Here is an optimized crystal structure of K2PrSbO4 from the Alexandria database. Energies are from GGA-PBE.

## Properties
Calculated volume, Å³/f.u.: 139.5
Size of the total moment, μB/f.u.: 0.0
Formation energy without anion corrections, eV/atom: -1.89

```
data_K2PrSbO4
_space_group_name_H-M_alt 'I m m a'
_space_group_IT_number 74
_space_group_name_Hall '-I 2b 2'
_cell_length_a 7.2896
_cell_length_b 7.3994
_cell_length_c 10.3432
_cell_angle_alpha 90.00
_cell_angle_beta 90.00
_cell_angle_gamma 90.00
loop_
_atom_site_label
_atom_site_fract_x
_atom_site_fract_y
_atom_site_fract_z
K1 0.0000 0.0000 0.0000
K2 0.2500 0.2500 0.2500
Pr1 0.0000 0.0000 0.5000
Sb1 0.2500 0.2500 0.7500
O1 0.0000 0.0342 0.7345
O2 0.2166 0.2500 0.5201
```

***

No. 3
Here is an optimized crystal structure of K3Pr3SbO8 from the Alexandria database. Energies are from GGA-PBE.

## Properties
Calculated volume, Å³/f.u.: 284.8
Size of the total moment, μB/f.u.: 0.0
Formation energy without anion corrections, eV/atom: -2.33

```
data_K3Pr3SbO8
_space_group_name_H-M_alt 'R -3 m'
_space_group_IT_number 166
_space_group_name_Hall '-R 3 2"'
_cell_length_a 7.1887
_cell_length_b 7.1887
_cell_length_c 19.0921
_cell_angle_alpha 90.00
_cell_angle_beta 90.00
_cell_angle_gamma 120.00
loop_
_atom_site_label
_atom_site_fract_x
_atom_site_fract_y
_atom_site_fract_z
K1 0.0000 0.5000 0.0000
Pr1 0.0000 0.5000 0.5000
Sb1 0.0000 0.0000 0.5000
O1 0.0000 0.0000 0.2300
O2 0.0352 0.5176 0.2255
```

***

No. 4
Here is an optimized crystal structure of K4Pr3SbO8 from the Alexandria database. Energies are from GGA-PBE.

## Properties
Calculated volume, Å³/f.u.: 289.9
Size of the total moment, μB/f.u.: 0.0
Formation energy without anion corrections, eV/atom: -2.25

```
data_K4Pr3SbO8
_space_group_name_H-M_alt 'R -3 m'
_space_group_IT_number 166
_space_group_name_Hall '-R 3 2"'
_cell_length_a 7.2840
_cell_length_b 7.2840
_cell_length_c 18.9278
_cell_angle_alpha 90.00
_cell_angle_beta 90.00
_cell_angle_gamma 120.00
loop_
_atom_site_label
_atom_site_fract_x
_atom_site_fract_y
_atom_site_fract_z
K1 0.0000 0.0000 0.0000
K2 0.0000 0.5000 0.0000
Pr1 0.0000 0.5000 0.5000
Sb1 0.0000 0.0000 0.5000
O1 0.0000 0.0000 0.2308
O2 0.0040 0.5020 0.2312
```

***

No. 5
Here is an optimized crystal structure of KSrPrSbO6 from the Alexandria database. Energies are from GGA-PBE.

## Properties
Calculated volume, Å³/f.u.: 162.3
Size of the total moment, μB/f.u.: 1.0
Formation energy without anion corrections, eV/atom: -2.14

```
data_KSrPrSbO6
_space_group_name_H-M_alt 'F -4 3 m'
_space_group_IT_number 216
_space_group_name_Hall 'F -4 2 3'
_cell_length_a 8.6594
_cell_length_b 8.6594
_cell_length_c 8.6594
_cell_angle_alpha 90.00
_cell_angle_beta 90.00
_cell_angle_gamma 90.00
loop_
_atom_site_label
_atom_site_fract_x
_atom_site_fract_y
_atom_site_fract_z
K1 0.0000 0.0000 0.0000
Sr1 0.0000 0.0000 0.5000
Pr1 0.2500 0.2500 0.2500
Sb1 0.2500 0.2500 0.7500
O1 0.0194 0.2500 0.7500
```

***

No. 6
Here is an optimized crystal structure of KPrYSbO6 from the Alexandria database. Energies are from GGA-PBE.

## Properties
Calculated volume, Å³/f.u.: 146.1
Size of the total moment, μB/f.u.: 0.0
Formation energy without anion corrections, eV/atom: -2.40

```
data_KPrYSbO6
_space_group_name_H-M_alt 'F -4 3 m'
_space_group_IT_number 216
_space_group_name_Hall 'F -4 2 3'
_cell_length_a 8.3615
_cell_length_b 8.3615
_cell_length_c 8.3615
_cell_angle_alpha 90.00
_cell_angle_beta 90.00
_cell_angle_gamma 90.00
loop_
_atom_site_label
_atom_site_fract_x
_atom_site_fract_y
_atom_site_fract_z
K1 0.0000 0.0000 0.0000
Pr1 0.0000 0.0000 0.5000
Y1 0.2500 0.2500 0.2500
Sb1 0.2500 0.2500 0.7500
O1 0.0127 0.2500 0.7500
```

***

No. 7
Here is an optimized crystal structure of K3Pr2ScO6 from the Alexandria database. Energies are from GGA-PBE.

## Properties
Calculated volume, Å³/f.u.: 204.2
Size of the total moment, μB/f.u.: 0.0
Formation energy without anion corrections, eV/atom: -2.60

```
data_K3Pr2ScO6
_space_group_name_H-M_alt 'C 1 2/m 1'
_space_group_IT_number 12
_cell_length_a 6.1271
_cell_length_b 10.6223
_cell_length_c 6.5938
_cell_angle_alpha 90.00
_cell_angle_beta 107.93
_cell_angle_gamma 90.00
loop_
_space_group_symop_operation_xyz
'x,y,z'
'-x,-y,-z'
'-x,y,-z'
'x,-y,z'
'x+1/2,y+1/2,z'
'-x+1/2,-y+1/2,-z'
'-x+1/2,y+1/2,-z'
'x+1/2,-y+1/2,z'
loop_
_atom_site_label
_atom_site_fract_x
_atom_site_fract_y
_atom_site_fract_z
K1 0.0000 0.0000 0.0000
K2 0.0000 0.3394 0.0000
Pr1 0.0000 0.1669 0.5000
Sc1 0.0000 0.5000 0.5000
O1 0.2157 0.3463 0.6870
O2 0.2459 0.5000 0.3145
```

***

No. 8
Here is an optimized crystal structure of KPrSe2O6 from the Alexandria database. Energies are from GGA-PBE.

## Properties
Calculated volume, Å³/f.u.: 184.0
Size of the total moment, μB/f.u.: 0.0
Formation energy without anion corrections, eV/atom: -1.71

```
data_KPrSe2O6
_space_group_name_H-M_alt 'R -3'
_space_group_IT_number 148
_space_group_name_Hall '-R 3'
_cell_length_a 5.7676
_cell_length_b 5.7676
_cell_length_c 19.1600
_cell_angle_alpha 90.00
_cell_angle_beta 90.00
_cell_angle_gamma 120.00
loop_
_atom_site_label
_atom_site_fract_x
_atom_site_fract_y
_atom_site_fract_z
K1 0.0000 0.0000 0.0000
Pr1 0.0000 0.0000 0.5000
Se1 0.0000 0.0000 0.2768
O1 0.0398 0.6221 0.9070
```

***

No. 9
Here is an optimized crystal structure of KPr3Se4O12 from the Alexandria database. Energies are from GGA-PBE.

## Properties
Calculated volume, Å³/f.u.: 409.5
Size of the total moment, μB/f.u.: 0.5
Formation energy without anion corrections, eV/atom: -1.54

```
data_KPr3Se4O12
_space_group_name_H-M_alt 'R 3 2'
_space_group_IT_number 155
_space_group_name_Hall 'R 3 2"'
_cell_length_a 12.6316
_cell_length_b 12.6316
_cell_length_c 8.8897
_cell_angle_alpha 90.00
_cell_angle_beta 90.00
_cell_angle_gamma 120.00
loop_
_atom_site_label
_atom_site_fract_x
_atom_site_fract_y
_atom_site_fract_z
K1 0.0000 0.0000 0.0000
Pr1 0.0000 0.5636 0.0000
Se1 0.0000 0.0000 0.5000
Se2 0.0000 0.4364 0.5000
O1 0.0000 0.6178 0.5000
O2 0.0000 0.8499 0.5000
O3 0.0414 0.2470 0.1694
```

***

No. 10
Here is an optimized crystal structure of KSrPrSeO6 from the Alexandria database. Energies are from GGA-PBE.

## Properties
Calculated volume, Å³/f.u.: 143.3
Size of the total moment, μB/f.u.: 0.0
Formation energy without anion corrections, eV/atom: -1.95

```
data_KSrPrSeO6
_space_group_name_H-M_alt 'F -4 3 m'
_space_group_IT_number 216
_space_group_name_Hall 'F -4 2 3'
_cell_length_a 8.3065
_cell_length_b 8.3065
_cell_length_c 8.3065
_cell_angle_alpha 90.00
_cell_angle_beta 90.00
_cell_angle_gamma 90.00
loop_
_atom_site_label
_atom_site_fract_x
_atom_site_fract_y
_atom_site_fract_z
K1 0.0000 0.0000 0.0000
Sr1 0.0000 0.0000 0.5000
Pr1 0.2500 0.2500 0.2500
Se1 0.2500 0.2500 0.7500
O1 0.0294 0.2500 0.7500
```

***

No. 11
Here is an optimized crystal structure of KPr2SiO5 from the Alexandria database. Energies are from GGA-PBE.

## Properties
Calculated volume, Å³/f.u.: 132.7
Size of the total moment, μB/f.u.: 0.9
Formation energy without anion corrections, eV/atom: -2.54

```
data_KPr2SiO5
_space_group_name_H-M_alt 'P 4/m b m'
_space_group_IT_number 127
_space_group_name_Hall '-P 4 2ab'
_cell_length_a 6.9501
_cell_length_b 6.9501
_cell_length_c 5.4929
_cell_angle_alpha 90.00
_cell_angle_beta 90.00
_cell_angle_gamma 90.00
loop_
_atom_site_label
_atom_site_fract_x
_atom_site_fract_y
_atom_site_fract_z
K1 0.0000 0.0000 0.0000
Pr1 0.1796 0.3204 0.5000
Si1 0.0000 0.5000 0.0000
O1 0.0000 0.0000 0.5000
O2 0.1231 0.6231 0.2294
```

***

No. 12
Here is an optimized crystal structure of K2PrSiO4 from the Alexandria database. Energies are from GGA-PBE.

## Properties
Calculated volume, Å³/f.u.: 214.7
Size of the total moment, μB/f.u.: 0.0
Formation energy without anion corrections, eV/atom: -2.07

```
data_K2PrSiO4
_space_group_name_H-M_alt 'F d d d'
_space_group_IT_number 70
_cell_length_a 5.8835
_cell_length_b 12.5217
_cell_length_c 23.3167
_cell_angle_alpha 90.00
_cell_angle_beta 90.00
_cell_angle_gamma 90.00
loop_
_space_group_symop_operation_xyz
'x,y,z'
'-x,-y,-z'
'-x+1/4,-y+1/4,z'
'x+1/4,y+1/4,-z'
'x,-y+1/4,-z+1/4'
'-x,y+1/4,z+1/4'
'-x+1/4,y,-z+1/4'
'x+1/4,-y,z+1/4'
'x,y+1/2,z+1/2'
'-x,-y+1/2,-z+1/2'
'-x+1/4,-y+3/4,z+1/2'
'x+1/4,y+3/4,-z+1/2'
'x,-y+3/4,-z+3/4'
'-x,y+3/4,z+3/4'
'-x+1/4,y+1/2,-z+3/4'
'x+1/4,-y+1/2,z+3/4'
'x+1/2,y,z+1/2'
'-x+1/2,-y,-z+1/2'
'-x+3/4,-y+1/4,z+1/2'
'x+3/4,y+1/4,-z+1/2'
'x+1/2,-y+1/4,-z+3/4'
'-x+1/2,y+1/4,z+3/4'
'-x+3/4,y,-z+3/4'
'x+3/4,-y,z+3/4'
'x+1/2,y+1/2,z'
'-x+1/2,-y+1/2,-z'
'-x+3/4,-y+3/4,z'
'x+3/4,y+3/4,-z'
'x+1/2,-y+3/4,-z+1/4'
'-x+1/2,y+3/4,z+1/4'
'-x+3/4,y+1/2,-z+1/4'
'x+3/4,-y+1/2,z+1/4'
loop_
_atom_site_label
_atom_site_fract_x
_atom_site_fract_y
_atom_site_fract_z
K1 0.1250 0.1250 0.3132
Pr1 0.1250 0.1250 0.1250
Si1 0.1250 0.1250 0.6250
O1 0.0520 0.2948 0.8390
```

***

No. 13
Here is an optimized crystal structure of K2Pr2SiO6 from the Alexandria database. Energies are from GGA-PBE.

## Properties
Calculated volume, Å³/f.u.: 191.1
Size of the total moment, μB/f.u.: 0.0
Formation energy without anion corrections, eV/atom: -2.44

```
data_K2Pr2SiO6
_space_group_name_H-M_alt 'C 1 2/m 1'
_space_group_IT_number 12
_cell_length_a 5.9348
_cell_length_b 10.0738
_cell_length_c 6.5700
_cell_angle_alpha 90.00
_cell_angle_beta 103.29
_cell_angle_gamma 90.00
loop_
_space_group_symop_operation_xyz
'x,y,z'
'-x,-y,-z'
'-x,y,-z'
'x,-y,z'
'x+1/2,y+1/2,z'
'-x+1/2,-y+1/2,-z'
'-x+1/2,y+1/2,-z'
'x+1/2,-y+1/2,z'
loop_
_atom_site_label
_atom_site_fract_x
_atom_site_fract_y
_atom_site_fract_z
K1 0.0000 0.1523 0.0000
Pr1 0.0000 0.3353 0.5000
Si1 0.0000 0.0000 0.5000
O1 0.1764 0.1375 0.6614
O2 0.2132 0.0000 0.3351
```

***

No. 14
Here is an optimized crystal structure of KPr9Si6O26 from the Alexandria database. Energies are from GGA-PBE.

## Properties
Calculated volume, Å³/f.u.: 590.0
Size of the total moment, μB/f.u.: 0.0
Formation energy without anion corrections, eV/atom: -3.19

```
data_KPr9Si6O26
_space_group_name_H-M_alt 'P 3'
_space_group_IT_number 143
_cell_length_a 9.7175
_cell_length_b 9.7175
_cell_length_c 7.2149
_cell_angle_alpha 90.00
_cell_angle_beta 90.00
_cell_angle_gamma 120.00
loop_
_space_group_symop_operation_xyz
'x,y,z'
'-y,x-y,z'
'-x+y,-x,z'
loop_
_atom_site_label
_atom_site_fract_x
_atom_site_fract_y
_atom_site_fract_z
K1 0.0000 0.0000 0.0000
Pr1 0.0000 0.0000 0.4998
Pr2 0.0917 0.6576 0.2522
Pr3 0.1000 0.4206 0.7560
Pr4 0.6667 0.3333 0.0034
Pr5 0.6667 0.3333 0.5040
Si1 0.3061 0.0373 0.2562
Si2 0.3655 0.3001 0.7469
O1 0.0215 0.8259 0.7299
O2 0.0836 0.3315 0.4368
O3 0.0836 0.3375 0.0770
O4 0.2186 0.1430 0.2726
O5 0.3333 0.6667 0.2596
O6 0.3333 0.6667 0.7513
O7 0.4239 0.4149 0.9331
O8 0.4426 0.4196 0.5661
O9 0.4597 0.1977 0.7570
O10 0.5018 0.1545 0.2512
```

***

No. 15
Here is an optimized crystal structure of K4Pr3SnO8 from the Alexandria database. Energies are from GGA-PBE.

## Properties
Calculated volume, Å³/f.u.: 288.5
Size of the total moment, μB/f.u.: 0.0
Formation energy without anion corrections, eV/atom: -2.25

```
data_K4Pr3SnO8
_space_group_name_H-M_alt 'R -3 m'
_space_group_IT_number 166
_space_group_name_Hall '-R 3 2"'
_cell_length_a 7.2606
_cell_length_b 7.2606
_cell_length_c 18.9593
_cell_angle_alpha 90.00
_cell_angle_beta 90.00
_cell_angle_gamma 120.00
loop_
_atom_site_label
_atom_site_fract_x
_atom_site_fract_y
_atom_site_fract_z
K1 0.0000 0.0000 0.0000
K2 0.0000 0.5000 0.0000
Pr1 0.0000 0.5000 0.5000
Sn1 0.0000 0.0000 0.5000
O1 0.0000 0.0000 0.2308
O2 0.0088 0.5044 0.2306
```

***

No. 16
Here is an optimized crystal structure of KPr2SnO5 from the Alexandria database. Energies are from GGA-PBE.

## Properties
Calculated volume, Å³/f.u.: 151.3
Size of the total moment, μB/f.u.: 0.9
Formation energy without anion corrections, eV/atom: -2.27

```
data_KPr2SnO5
_space_group_name_H-M_alt 'P 4/m b m'
_space_group_IT_number 127
_space_group_name_Hall '-P 4 2ab'
_cell_length_a 6.9526
_cell_length_b 6.9526
_cell_length_c 6.2618
_cell_angle_alpha 90.00
_cell_angle_beta 90.00
_cell_angle_gamma 90.00
loop_
_atom_site_label
_atom_site_fract_x
_atom_site_fract_y
_atom_site_fract_z
K1 0.0000 0.0000 0.0000
Pr1 0.1780 0.3220 0.5000
Sn1 0.0000 0.5000 0.0000
O1 0.0000 0.0000 0.5000
O2 0.1392 0.6392 0.2580
```

***

No. 17
Here is an optimized crystal structure of KPrSn2O6 from the Alexandria database. Energies are from GGA-PBE.

## Properties
Calculated volume, Å³/f.u.: 137.0
Size of the total moment, μB/f.u.: 0.0
Formation energy without anion corrections, eV/atom: -1.95

```
data_KPrSn2O6
_space_group_name_H-M_alt 'F m -3 m'
_space_group_IT_number 225
_space_group_name_Hall '-F 4 2 3'
_cell_length_a 8.1829
_cell_length_b 8.1829
_cell_length_c 8.1829
_cell_angle_alpha 90.00
_cell_angle_beta 90.00
_cell_angle_gamma 90.00
loop_
_atom_site_label
_atom_site_fract_x
_atom_site_fract_y
_atom_site_fract_z
K1 0.0000 0.0000 0.0000
Pr1 0.0000 0.0000 0.5000
Sn1 0.2500 0.2500 0.2500
O1 0.0000 0.2500 0.2500
```

***

No. 18
Here is an optimized crystal structure of K3Pr3SnO8 from the Alexandria database. Energies are from GGA-PBE.

## Properties
Calculated volume, Å³/f.u.: 282.1
Size of the total moment, μB/f.u.: 0.0
Formation energy without anion corrections, eV/atom: -2.38

```
data_K3Pr3SnO8
_space_group_name_H-M_alt 'R -3 m'
_space_group_IT_number 166
_space_group_name_Hall '-R 3 2"'
_cell_length_a 7.1647
_cell_length_b 7.1647
_cell_length_c 19.0338
_cell_angle_alpha 90.00
_cell_angle_beta 90.00
_cell_angle_gamma 120.00
loop_
_atom_site_label
_atom_site_fract_x
_atom_site_fract_y
_atom_site_fract_z
K1 0.0000 0.5000 0.0000
Pr1 0.0000 0.5000 0.5000
Sn1 0.0000 0.0000 0.5000
O1 0.0000 0.0000 0.2292
O2 0.0346 0.5173 0.2261
```